Below is a relaxed Ba2LiTe2S6 crystal, with properties calculated at the PBE level.

Calculated values
- E_form (uncorrected): -0.8334 eV/atom
- Total DFT energy (no corrections): -4.1796 eV/atom
- Crystal system: monoclinic

Lattice parameters (Å, degrees): 13.130 7.106 7.962 90.00 118.65 90.00
Space group C2/m (No. 12)
Unique sites:
Ba1 0.181 0.000 0.213 (multiplicity 4)
Li1 0.000 0.000 0.500 (multiplicity 2)
Te1 0.051 0.500 0.335 (multiplicity 4)
S1 0.043 0.191 0.790 (multiplicity 8)
S2 0.227 0.500 0.314 (multiplicity 4)


Below is a relaxed Ca5Zn2Ag5 crystal, with properties calculated at the PBE level.

Calculated values
- Total DFT energy (no corrections): -2.5057 eV/atom
- Crystal system: monoclinic

Lattice parameters (Å, degrees): 15.619 4.540 11.146 90.00 130.01 90.00
Space group C2/m (No. 12)
Unique sites:
Ca1 0.000 0.000 0.000 (multiplicity 2)
Ca2 0.106 0.000 0.420 (multiplicity 4)
Ca3 0.204 0.000 0.830 (multiplicity 4)
Zn1 0.145 0.500 0.262 (multiplicity 4)
Ag1 0.000 0.500 0.500 (multiplicity 2)
Ag2 0.059 0.500 0.827 (multiplicity 4)
Ag3 0.241 0.500 0.673 (multiplicity 4)


Below is a relaxed Rb2LaGaO4 crystal, with properties calculated at the PBE level.

Calculated values
- E_form (uncorrected): -2.1601 eV/atom
- Total DFT energy (no corrections): -5.8754 eV/atom
- Crystal system: tetragonal

Lattice parameters (Å, degrees): 6.169 6.169 8.787 90.00 90.00 90.00
Space group I-4 (No. 82)
Unique sites:
Rb1 0.000 0.000 0.000 (multiplicity 2)
Rb2 0.000 0.500 0.250 (multiplicity 2)
La1 0.000 0.000 0.500 (multiplicity 2)
Ga1 0.000 0.500 0.750 (multiplicity 2)
O1 0.139 0.719 0.635 (multiplicity 8)


Below is a relaxed CeTaNi2 crystal, with properties calculated at the PBE level.

Calculated values
- Total DFT energy (no corrections): -7.4750 eV/atom
- E above lowest polymorph: 0.0461 eV per atom
- Crystal system: trigonal

Lattice parameters (Å, degrees): 4.2656 4.2656 14.4913 90.00 90.00 120.00
Space group R-3m (No. 166, hexagonal axes)
Unique sites:
Ce1 0.0000 0.0000 0.0000 (multiplicity 3)
Ta1 0.0000 0.0000 0.5000 (multiplicity 3)
Ni1 0.0000 0.0000 0.2003 (multiplicity 6)


Below is a relaxed ZrFePb2 crystal, with properties calculated at the PBE level.

Calculated values
- Total DFT energy (no corrections): -5.7682 eV/atom
- E above lowest polymorph: 0.2272 eV per atom
- Crystal system: trigonal

Lattice parameters (Å, degrees): 3.2957 3.2957 28.7202 90.00 90.00 120.00
Space group R-3m (No. 166, hexagonal axes)
Unique sites:
Zr1 0.0000 0.0000 0.0000 (multiplicity 3)
Fe1 0.0000 0.0000 0.5000 (multiplicity 3)
Pb1 0.0000 0.0000 0.2418 (multiplicity 6)


Below is a relaxed NdHoZr crystal, with properties calculated at the PBE level.

Calculated values
- Total DFT energy (no corrections): -5.8479 eV/atom
- E above lowest polymorph: 0.0153 eV per atom
- Crystal system: tetragonal

Lattice parameters (Å, degrees): 3.877 3.877 11.927 90.00 90.00 90.00
Space group P4/nmm (No. 129, origin choice 2)
Unique sites:
Nd1 0.250 0.250 0.218 (multiplicity 2)
Ho1 0.250 0.250 0.590 (multiplicity 2)
Zr1 0.250 0.250 0.947 (multiplicity 2)


Below is a relaxed Ac2CeDy crystal, with properties calculated at the PBE level.

Calculated values
- Total DFT energy (no corrections): -4.5639 eV/atom
- E above lowest polymorph: 0.0084 eV per atom
- Crystal system: tetragonal

Lattice parameters (Å, degrees): 5.370 5.370 5.204 90.00 90.00 90.00
Space group P4/mmm (No. 123)
Unique sites:
Ac1 0.000 0.500 0.000 (multiplicity 2)
Ce1 0.000 0.000 0.500 (multiplicity 1)
Dy1 0.500 0.500 0.500 (multiplicity 1)


Below is a relaxed PuTl2Zn crystal, with properties calculated at the PBE level.

Calculated values
- Total DFT energy (no corrections): -5.0107 eV/atom
- Crystal system: tetragonal

Lattice parameters (Å, degrees): 3.614 3.614 7.612 90.00 90.00 90.00
Space group P4/mmm (No. 123)
Unique sites:
Pu1 0.000 0.000 0.000 (multiplicity 1)
Tl1 0.500 0.500 0.284 (multiplicity 2)
Zn1 0.000 0.000 0.500 (multiplicity 1)


Below is a relaxed CrAg3Sb crystal, with properties calculated at the PBE level.

Calculated values
- E_form (uncorrected): 0.8356 eV/atom
- Total DFT energy (no corrections): -3.6243 eV/atom
- E above lowest polymorph: 0.0000 eV per atom
- Crystal system: cubic

Lattice parameters (Å, degrees): 5.214 5.214 5.214 90.00 90.00 90.00
Space group Pm-3m (No. 221)
Unique sites:
Cr1 0.000 0.000 0.000 (multiplicity 1)
Ag1 0.000 0.500 0.500 (multiplicity 3)
Sb1 0.500 0.500 0.500 (multiplicity 1)


Below is a relaxed Sm2Y7Sc crystal, with properties calculated at the PBE level.

Calculated values
- Total DFT energy (no corrections): -5.9227 eV/atom
- Crystal system: orthorhombic

Lattice parameters (Å, degrees): 6.497 28.768 3.475 90.00 90.00 90.00
Space group Cmmm (No. 65)
Unique sites:
Sm1 0.000 0.207 0.000 (multiplicity 4)
Y1 0.000 0.000 0.000 (multiplicity 2)
Y2 0.000 0.314 0.500 (multiplicity 4)
Y3 0.243 0.404 0.000 (multiplicity 8)
Sc1 0.000 0.500 0.500 (multiplicity 2)


Below is a relaxed LiCu5Ni4 crystal, with properties calculated at the PBE level.

Calculated values
- Total DFT energy (no corrections): -4.2714 eV/atom
- Crystal system: tetragonal

Lattice parameters (Å, degrees): 7.622 7.622 4.079 90.00 90.00 90.00
Space group I4 (No. 79)
Unique sites:
Li1 0.000 0.000 0.000 (multiplicity 2)
Cu1 0.000 0.000 0.472 (multiplicity 2)
Cu2 0.188 0.811 0.765 (multiplicity 8)
Ni1 0.000 0.339 0.290 (multiplicity 8)


Below is a relaxed Ca2CrRuPt crystal, with properties calculated at the PBE level.

Calculated values
- Total DFT energy (no corrections): -5.2889 eV/atom
- Crystal system: tetragonal

Lattice parameters (Å, degrees): 5.321 5.321 4.459 90.00 90.00 90.00
Space group P4/mmm (No. 123)
Unique sites:
Ca1 0.000 0.500 0.000 (multiplicity 2)
Cr1 0.000 0.000 0.500 (multiplicity 1)
Ru1 0.000 0.000 0.000 (multiplicity 1)
Pt1 0.500 0.500 0.500 (multiplicity 1)


| no. | size of the total moment (μB per formula unit) | N(E_F) (states/eV/f.u.) |
| --- | --- | --- |
| 1 | 0.0 | 1.731 |
| 2 | 0.0 | 6.931 |
| 3 | 0.0 | 0.000 |
| 4 | 0.5 | 6.069 |
| 5 | 2.9 | 2.560 |
| 6 | 0.0 | 3.914 |
| 7 | 1.1 | 9.810 |
| 8 | 6.2 | 7.941 |
| 9 | 5.6 | 2.344 |
| 10 | 0.0 | 15.740 |
| 11 | 0.3 | 10.757 |
| 12 | 3.5 | 3.446 |